Computed, not measured: an optimized crystal structure of SmInAu6 at the GGA-PBE level of DFT.

Cell lengths 5.477, 5.477, 5.477 Å; angles 90.00, 90.00, 90.00 degrees
Sites, in units of the cell vectors:
Sm 0.000 0.000 0.000
In 0.500 0.500 0.500
Au 0.000 0.252 0.500
Au 0.000 0.748 0.500
Au 0.252 0.500 0.000
Au 0.500 0.000 0.252
Au 0.500 0.000 0.748
Au 0.748 0.500 0.000

Properties
Crystal system ... cubic
Calculated density ... 14.6 g/cm³
Calculated total energy ... -3.74 eV per atom
ΔE_f ... -0.35 eV per atom
Offset from the most stable computed form ... 0.14 eV per formula unit